(w)
Here is TbScZn after structural relaxation from Alexandria. Energies are from PBE-GGA.

Cell: 9.7054 4.7676 6.7951 Å, 90.00 90.00 90.00°
Positions (direct):
Tb: 0.1396 0.2500 0.0026
Tb: 0.3604 0.7500 0.5026
Tb: 0.6396 0.2500 0.4974
Tb: 0.8604 0.7500 0.9974
Sc: 0.1095 0.2500 0.5020
Sc: 0.3905 0.7500 0.0020
Sc: 0.6095 0.2500 0.9980
Sc: 0.8905 0.7500 0.4980
Zn: 0.1216 0.7500 0.7484
Zn: 0.3784 0.2500 0.2484
Zn: 0.6216 0.7500 0.7516
Zn: 0.8784 0.2500 0.2516

Fermi-level density of states	15.0	states/eV per cell
calculated volume	314	Å³/cell
total magnetization	0.0	μB per formula unit
SG	Pnma (62)

***

(x)
Here is TbScZn after structural relaxation from Alexandria. Energies are from PBE-GGA.

Cell: 4.8241 4.8241 3.5836 Å, 90.00 90.00 120.00°
Positions (direct):
Tb: 0.0000 0.0000 0.0000
Sc: 0.6667 0.3333 0.4825
Zn: 0.3333 0.6667 0.5643

Fermi-level density of states	4.5	states/eV per cell
calculated volume	72	Å³/cell
total magnetization	0.0	μB per formula unit
SG	P3m1 (156)

***

(y)
Here is TbScZn after structural relaxation from Alexandria. Energies are from PBE-GGA.

Cell: 6.3842 6.3842 6.3842 Å, 148.57 148.57 45.04°
Positions (direct):
Tb: 0.0000 0.0000 0.0000
Sc: 0.2906 0.2906 0.0000
Zn: 0.6643 0.6643 0.0000

Fermi-level density of states	3.7	states/eV per cell
calculated volume	71	Å³/cell
total magnetization	0.0	μB per formula unit
SG	I4mm (107)

***

Which of them is the least stable? Correct choice: (w).

***

(w)
Here is TbScZn4 after structural relaxation from Alexandria. Energies are from PBE-GGA.

Cell: 3.5831 3.8858 9.4177 Å, 89.91 89.79 89.90°
Positions (direct):
Tb: 0.0000 0.0000 0.0000
Sc: 0.5000 0.5000 0.5000
Zn: 0.0020 0.4997 0.2557
Zn: 0.4991 0.0009 0.2678
Zn: 0.5009 0.9991 0.7322
Zn: 0.9980 0.5003 0.7443

Fermi-level density of states	4.5	states/eV per cell
calculated volume	131	Å³/cell
total magnetization	0.0	μB per formula unit
SG	P-1 (2)

***

(x)
Here is TbScZn4 after structural relaxation from Alexandria. Energies are from PBE-GGA.

Cell: 5.5467 5.5467 5.5467 Å, 133.15 103.00 95.23°
Positions (direct):
Tb: 0.0000 0.0000 0.0000
Sc: 0.4409 0.9409 0.5000
Zn: 0.0028 0.2967 0.7061
Zn: 0.4231 0.6273 0.7959
Zn: 0.5906 0.2967 0.2939
Zn: 0.8314 0.6273 0.2041

Fermi-level density of states	3.9	states/eV per cell
calculated volume	114	Å³/cell
total magnetization	0.0	μB per formula unit
SG	Imm2 (44)

***

Which of them is the least stable? Correct choice: (w).